# LaMgP2O, optimized geometry, DFT GGA-PBE
# Crystal system: tetragonal
# Symmetry: P4/mmm (123)
# Energy relative to the elements, uncorrected: -0.694 eV/atom
# Excess energy over the best structure of this formula in the dataset: 0.000 kcal/mol of atoms
data_LaMgP2O
_cell_length_a 4.954
_cell_length_b 4.954
_cell_length_c 3.953
_cell_angle_alpha 90.00
_cell_angle_beta 90.00
_cell_angle_gamma 90.00
_symmetry_space_group_name_H-M 'P 1'
_symmetry_Int_Tables_number 1
_symmetry_space_group_name_Hall 'P 1'
loop_
_atom_site_label
_atom_site_type_symbol
_atom_site_fract_x
_atom_site_fract_y
_atom_site_fract_z
_atom_site_occupancy
P1 P 0.500 0.000 0.000 1
La1 La 0.500 0.500 0.500 1
O1 O 0.000 0.000 0.500 1
Mg1 Mg 0.000 0.000 0.000 1
P2 P 0.000 0.500 0.000 1

# LaMgPO2, optimized geometry, DFT GGA-PBE
# Crystal system: tetragonal
# Symmetry: P4/mmm (123)
# Energy relative to the elements, uncorrected: -1.015 eV/atom
# Excess energy over the best structure of this formula in the dataset: 7.522 kcal/mol of atoms
data_LaMgPO2
_cell_length_a 4.261
_cell_length_b 4.261
_cell_length_c 6.213
_cell_angle_alpha 90.00
_cell_angle_beta 90.00
_cell_angle_gamma 90.00
_symmetry_space_group_name_H-M 'P 1'
_symmetry_Int_Tables_number 1
_symmetry_space_group_name_Hall 'P 1'
loop_
_atom_site_label
_atom_site_type_symbol
_atom_site_fract_x
_atom_site_fract_y
_atom_site_fract_z
_atom_site_occupancy
O1 O 0.000 0.500 0.000 1
Mg1 Mg 0.500 0.500 0.500 1
La1 La 0.000 0.000 0.000 1
P1 P 0.000 0.000 0.500 1
O2 O 0.500 0.000 0.000 1

# LaMgPO2, optimized geometry, DFT GGA-PBE
# Crystal system: tetragonal
# Symmetry: P4/mmm (123)
# Energy relative to the elements, uncorrected: -1.341 eV/atom
# Excess energy over the best structure of this formula in the dataset: 0.000 kcal/mol of atoms
data_LaMgPO2
_cell_length_a 4.142
_cell_length_b 4.142
_cell_length_c 4.755
_cell_angle_alpha 90.00
_cell_angle_beta 90.00
_cell_angle_gamma 90.00
_symmetry_space_group_name_H-M 'P 1'
_symmetry_Int_Tables_number 1
_symmetry_space_group_name_Hall 'P 1'
loop_
_atom_site_label
_atom_site_type_symbol
_atom_site_fract_x
_atom_site_fract_y
_atom_site_fract_z
_atom_site_occupancy
Mg1 Mg 0.000 0.000 0.000 1
La1 La 0.500 0.500 0.500 1
O1 O 0.500 0.000 0.000 1
O2 O 0.000 0.500 0.000 1
P1 P 0.000 0.000 0.500 1

# La2MgPdO5, optimized geometry, DFT GGA-PBE
# Crystal system: tetragonal
# Symmetry: P4/mbm (127)
# Energy relative to the elements, uncorrected: -2.197 eV/atom
data_La2MgPdO5
_cell_length_a 5.789
_cell_length_b 6.825
_cell_length_c 6.825
_cell_angle_alpha 90.00
_cell_angle_beta 90.00
_cell_angle_gamma 90.00
_symmetry_space_group_name_H-M 'P 1'
_symmetry_Int_Tables_number 1
_symmetry_space_group_name_Hall 'P 1'
loop_
_atom_site_label
_atom_site_type_symbol
_atom_site_fract_x
_atom_site_fract_y
_atom_site_fract_z
_atom_site_occupancy
O1 O 0.761 0.649 0.851 1
La1 La 0.500 0.673 0.173 1
La2 La 0.500 0.327 0.827 1
La3 La 0.500 0.827 0.673 1
La4 La 0.500 0.173 0.327 1
O2 O 0.239 0.851 0.351 1
Mg1 Mg 0.000 0.500 0.500 1
O3 O 0.500 0.000 0.000 1
O4 O 0.239 0.649 0.851 1
O5 O 0.761 0.851 0.351 1
Pd1 Pd 0.000 0.500 0.000 1
Pd2 Pd 0.000 0.000 0.500 1
O6 O 0.500 0.500 0.500 1
O7 O 0.239 0.149 0.649 1
O8 O 0.761 0.149 0.649 1
O9 O 0.761 0.351 0.149 1
O10 O 0.239 0.351 0.149 1
Mg2 Mg 0.000 0.000 0.000 1

# La2PmMgO, optimized geometry, DFT GGA-PBE
# Crystal system: tetragonal
# Symmetry: P4/mmm (123)
# Energy relative to the elements, uncorrected: -1.195 eV/atom
data_La2PmMgO
_cell_length_a 4.961
_cell_length_b 5.135
_cell_length_c 5.135
_cell_angle_alpha 90.00
_cell_angle_beta 90.00
_cell_angle_gamma 90.00
_symmetry_space_group_name_H-M 'P 1'
_symmetry_Int_Tables_number 1
_symmetry_space_group_name_Hall 'P 1'
loop_
_atom_site_label
_atom_site_type_symbol
_atom_site_fract_x
_atom_site_fract_y
_atom_site_fract_z
_atom_site_occupancy
Pm1 Pm 0.500 0.000 0.000 1
Mg1 Mg 0.500 0.500 0.500 1
La1 La 0.000 0.500 0.000 1
La2 La 0.000 0.000 0.500 1
O1 O 0.000 0.000 0.000 1

# LaPm2MgO, optimized geometry, DFT GGA-PBE
# Crystal system: tetragonal
# Symmetry: P4/mmm (123)
# Energy relative to the elements, uncorrected: -1.188 eV/atom
data_LaPm2MgO
_cell_length_a 5.105
_cell_length_b 4.992
_cell_length_c 4.992
_cell_angle_alpha 90.00
_cell_angle_beta 90.00
_cell_angle_gamma 90.00
_symmetry_space_group_name_H-M 'P 1'
_symmetry_Int_Tables_number 1
_symmetry_space_group_name_Hall 'P 1'
loop_
_atom_site_label
_atom_site_type_symbol
_atom_site_fract_x
_atom_site_fract_y
_atom_site_fract_z
_atom_site_occupancy
O1 O 0.000 0.000 0.000 1
Pm1 Pm 0.000 0.000 0.500 1
Mg1 Mg 0.500 0.500 0.500 1
Pm2 Pm 0.000 0.500 0.000 1
La1 La 0.500 0.000 0.000 1